Entry 1:
A relaxed Pr2SmI crystal, computed with GGA-PBE.

Structure (POSCAR):
```
Pr2SmI
1.0
-0.349 0.504 -3.791
-1.179 -2.902 -2.223
-10.881 2.360 -0.629
Sm I Pr
1 1 2
Cartesian
0.000 0.000 0.000 Sm
-6.204 -0.019 -3.322 I
-9.151 -0.076 -5.003 Pr
-3.258 0.038 -1.640 Pr
```

Values from the calculation:
For the total energy, the calculation gives -0.3206 Ry per atom. As for the density of states at the Fermi level: 0.925 states/eV per atom. The offset from the most stable computed form comes out at 0 meV/atom. The value obtained for the raw formation energy is -9.34 kcal/mol of atoms.

=====

Entry 2:
A relaxed DyPaInGa crystal, computed with GGA-PBE.

Structure (POSCAR):
```
DyPaInGa
1.0
-4.293 -2.597 -1.375
0.398 -4.627 -2.346
-1.347 -4.333 2.546
Dy Ga In Pa
1 1 1 1
Cartesian
-2.621 -5.778 -0.588 Dy
-1.311 -2.889 -0.294 Ga
-3.932 -8.667 -0.882 In
0.000 0.000 0.000 Pa
```

Values from the calculation:
For the total energy, the calculation gives -0.3761 Ry per atom. As for the density of states at the Fermi level: 2.013 states/eV per atom.

=====

Entry 3:
A relaxed CdHg2Te crystal, computed with GGA-PBE.

Structure (POSCAR):
```
CdHg2Te
1.0
-0.827 -4.391 0.764
3.182 -3.091 -0.932
3.295 -1.874 6.355
Te Cd Hg
1 1 2
Cartesian
2.692 -4.701 2.761 Te
1.484 -2.315 1.734 Cd
2.371 -7.487 -0.133 Hg
4.283 -7.011 4.752 Hg
```

Values from the calculation:
For the total energy, the calculation gives -0.0927 Ry per atom. As for the density of states at the Fermi level: 0.155 states/eV per atom. The offset from the most stable computed form comes out at 0 meV/atom. The value obtained for the raw formation energy is -2.20 kcal/mol of atoms.

=====

Entry 4:
A relaxed EuLuInPd crystal, computed with GGA-PBE.

Structure (POSCAR):
```
EuLuInPd
1.0
-2.585 2.517 -3.741
-5.187 -0.258 -0.199
-2.857 4.180 1.176
Eu In Pd Lu
1 1 1 1
Cartesian
-2.657 1.610 -0.691 Eu
-5.315 3.219 -1.382 In
0.000 0.000 0.000 Pd
-7.972 4.829 -2.074 Lu
```

Values from the calculation:
For the total energy, the calculation gives -0.4548 Ry per atom. As for the density of states at the Fermi level: 1.960 states/eV per atom.

=====

Number 1: spin magnetization 0.00 μB per cell. Number 2: spin magnetization 1.28 μB per cell. Number 3: spin magnetization 0.00 μB per cell. Number 4: spin magnetization 6.96 μB per cell.